# CeMg2Rh PBE optimized geometry
# Calculated volume (Å³ per cell): 248
# Formation energy from the elements (eV/atom): 0.19
# Density of states at the Fermi level (states/eV per atom): 1.706
data_CeMg2Rh
_cell_length_a 2.9572
_cell_length_b 2.9572
_cell_length_c 32.7060
_cell_angle_alpha 90.00
_cell_angle_beta 90.00
_cell_angle_gamma 120.00
_symmetry_space_group_name_H-M 'R -3 m'
_symmetry_Int_Tables_number 166
_symmetry_space_group_name_Hall '-R 3 2"'
loop_
_atom_site_label
_atom_site_type_symbol
_atom_site_fract_x
_atom_site_fract_y
_atom_site_fract_z
_atom_site_occupancy
Ce1 Ce 0.0000 0.0000 0.0000 1
Mg1 Mg 0.0000 0.0000 0.4242 1
Rh1 Rh 0.0000 0.0000 0.5000 1


# CeMgRh PBE optimized geometry
# Calculated volume (Å³ per cell): 268
# Formation energy from the elements (eV/atom): -0.44
# Density of states at the Fermi level (states/eV per atom): 1.770
data_CeMgRh
_cell_length_a 7.757
_cell_length_b 7.757
_cell_length_c 4.456
_cell_angle_alpha 90.00
_cell_angle_beta 90.00
_cell_angle_gamma 90.00
_symmetry_space_group_name_H-M 'P 42/m'
_symmetry_Int_Tables_number 84
loop_
_symmetry_equiv_pos_as_xyz
'x,y,z'
'-x,-y,-z'
'-y,x,z+1/2'
'y,-x,-z+1/2'
'-x,-y,z'
'x,y,-z'
'y,-x,z+1/2'
'-y,x,-z+1/2'
loop_
_atom_site_label
_atom_site_type_symbol
_atom_site_fract_x
_atom_site_fract_y
_atom_site_fract_z
_atom_site_occupancy
Ce1 Ce 0.073 0.278 0.000 1
Mg1 Mg 0.346 0.615 0.000 1
Rh1 Rh 0.144 0.610 0.500 1